Material: MoHBr2
Method: DFT, GGA-PBE
State: optimized geometry

Symmetry: Fm-3m (225)
Fermi-level density of states, states/eV per cell: 1.7
Theoretical density, g/cm3: 6.805
Calculated total energy, eV/cell: -14.53

Cell lengths 4.4580, 4.4580, 4.4580 Å; angles 60.00, 60.00, 60.00 degrees
Closest atoms and distances in Å follow each position.
Sites, in units of the cell vectors:
Br  0.2500  0.2500  0.2500  4 H 2.73, 4 Mo 2.73
Br  0.7500  0.7500  0.7500  4 Mo 2.73, 4 H 2.73
H  0.0000  0.0000  0.0000  8 Br 2.73
Mo  0.5000  0.5000  0.5000  8 Br 2.73